# 1
Density functional theory data (PBE) for a relaxed structure of Ti2Al2Cd.

Values from the calculation:
SG: P4/mbm, No. 127
E (eV per formula unit): -25.05
Fermi-level density of states (states/eV/atom): 1.05
Energy of formation from the pure elements (kJ/mol of atoms): -16.6

Cell lengths 7.3707, 7.3707, 3.2173 Å; angles 90.00, 90.00, 90.00 degrees
Positions (direct):
1 Ti 0.6758 0.8242 0.5000
2 Ti 0.3242 0.1758 0.5000
3 Cd 0.0000 0.0000 0.0000
4 Al 0.3787 0.8787 0.0000
5 Ti 0.1758 0.6758 0.5000
6 Al 0.1213 0.3787 0.0000
7 Cd 0.5000 0.5000 0.0000
8 Al 0.8787 0.6213 0.0000
9 Al 0.6213 0.1213 0.0000
10 Ti 0.8242 0.3242 0.5000

=====

# 2
Density functional theory data (PBE) for a relaxed structure of BeVCoIr.

Values from the calculation:
SG: F-43m, No. 216
E (eV per formula unit): -30.47
Fermi-level density of states (states/eV/atom): 0.51
Energy of formation from the pure elements (kJ/mol of atoms): -40.1

Cell lengths 4.0490, 4.0490, 4.0490 Å; angles 60.00, 60.00, 60.00 degrees
Each line ends with the local moment (μB).
Positions (direct):
1 V 0.7500 0.7500 0.7500  0.14
2 Ir 0.0000 0.0000 0.0000  0.06
3 Be 0.2500 0.2500 0.2500  -0.01
4 Co 0.5000 0.5000 0.5000  0.85